# 1
The following is a DFT calculation (PBE-GGA) of crystalline Ba12Tl6Pd at its relaxed geometry.

The structure in POSCAR format:
```
Ba12Tl6Pd
1.0
-5.550 -5.541 -6.261
8.942 -1.599 -4.265
0.788 -6.673 7.454
Ba Tl Pd
12 6 1
direct
0.820 0.564 0.418
0.418 0.820 0.564
0.564 0.418 0.820
0.180 0.436 0.582
0.582 0.180 0.436
0.436 0.582 0.180
0.063 0.970 0.314
0.030 0.686 0.937
0.686 0.937 0.030
0.937 0.030 0.686
0.970 0.314 0.063
0.314 0.063 0.970
0.706 0.866 0.373
0.627 0.294 0.134
0.134 0.627 0.294
0.294 0.134 0.627
0.373 0.706 0.866
0.866 0.373 0.706
0.000 0.000 0.000
```

Calculated values
As for the energy relative to the elements: -0.212 eV per atom.


# 2
The following is a DFT calculation (PBE-GGA) of crystalline BaTl4Pd5 at its relaxed geometry.

The structure in POSCAR format:
```
BaTl4Pd5
1.0
-4.720 -0.346 1.408
1.284 -7.911 2.362
2.823 3.544 10.337
Ba Tl Pd
2 8 10
direct
0.456 0.000 0.000
0.544 0.500 0.500
0.986 0.299 0.000
0.756 0.000 0.277
0.756 0.000 0.723
0.986 0.701 0.000
0.014 0.799 0.500
0.244 0.500 0.223
0.244 0.500 0.777
0.014 0.201 0.500
0.744 0.330 0.223
0.744 0.330 0.777
0.491 0.000 0.500
0.744 0.670 0.223
0.744 0.670 0.777
0.256 0.830 0.277
0.256 0.830 0.723
0.509 0.500 0.000
0.256 0.170 0.723
0.256 0.170 0.277
```

Calculated values
As for the energy relative to the elements: -0.217 eV per atom.


# 3
The following is a DFT calculation (PBE-GGA) of crystalline Ba3Tl4Pd2 at its relaxed geometry.

The structure in POSCAR format:
```
Ba3Tl4Pd2
1.0
-3.992 -1.599 -1.806
0.621 -6.637 -1.520
-4.027 -5.510 7.759
Ba Tl Pd
3 4 2
direct
0.317 0.739 0.626
0.000 0.000 0.000
0.683 0.261 0.374
0.250 0.400 0.099
0.750 0.600 0.901
0.019 0.306 0.656
0.981 0.694 0.344
0.389 0.954 0.268
0.611 0.046 0.732
```

Calculated values
As for the energy relative to the elements: -0.418 eV per atom. The value obtained for the offset from the most stable computed form is 0 meV/atom.


# 4
The following is a DFT calculation (PBE-GGA) of crystalline BaTl4Pd6 at its relaxed geometry.

The structure in POSCAR format:
```
BaTl4Pd6
1.0
-1.442 -0.891 -4.095
6.920 -3.370 -1.702
-5.860 -4.332 3.006
Ba Tl Pd
1 4 6
direct
0.000 0.000 0.000
0.500 0.803 0.607
0.500 0.393 0.197
0.500 0.803 0.197
0.000 0.333 0.667
0.000 0.538 0.076
0.500 0.583 0.791
0.000 0.538 0.462
0.000 0.924 0.462
0.500 0.209 0.791
0.500 0.209 0.417
```

Calculated values
As for the energy relative to the elements: -0.271 eV per atom.


Among the records above, which one has the lowest energy relative to the elements? Ba3Tl4Pd2